#i
Compound: AlSiSe2
Source: Alexandria
Functional: PBE
Structure: optimized geometry

The crystal system is tetragonal.

It has space group I4/mmm (No. 139), with a = 5.367 Å, b = 5.367 Å, c = 5.504 Å, α = 90.00°, β = 90.00° and γ = 90.00°. The distinct sites, in fractional coordinates, are Al at (0.000, 0.000, 0.000), Si at (0.000, 0.000, 0.500) and Se at (0.000, 0.500, 0.000).


#ii
Compound: AlSiSe2
Source: Alexandria
Functional: PBE
Structure: optimized geometry

The crystal system is tetragonal.

It has space group P4mm (No. 99), with a = 3.440 Å, b = 3.440 Å, c = 7.456 Å, α = 90.00°, β = 90.00° and γ = 90.00°. The distinct sites, in fractional coordinates, are Al at (0.000, 0.000, 0.000), Si at (0.500, 0.500, 0.627), Se at (0.000, 0.000, 0.487) and Se at (0.500, 0.500, 0.112).


Last place for stability: #ii


#i
Compound: Mg3CdBi
Source: Alexandria
Functional: PBE
Structure: optimized geometry

The crystal system is hexagonal.

It has space group P-6m2 (No. 187), with a = 4.9040 Å, b = 4.9040 Å, c = 6.1981 Å, α = 90.00°, β = 90.00° and γ = 120.00°. The distinct sites, in fractional coordinates, are Mg at (0.0000, 0.0000, 0.0000), Mg at (0.3333, 0.6667, 0.2492), Cd at (0.6667, 0.3333, 0.0000) and Bi at (0.0000, 0.0000, 0.5000).


#ii
Compound: Mg3CdBi
Source: Alexandria
Functional: PBE
Structure: optimized geometry

The crystal system is cubic.

It has space group Pm-3m (No. 221), with a = 5.236 Å, b = 5.236 Å, c = 5.236 Å, α = 90.00°, β = 90.00° and γ = 90.00°. The distinct sites, in fractional coordinates, are Mg at (0.000, 0.000, 0.500), Cd at (0.000, 0.000, 0.000) and Bi at (0.500, 0.500, 0.500).


Last place for stability: #ii


#i
Compound: Ta2AgCl
Source: Alexandria
Functional: PBE
Structure: optimized geometry

The crystal system is tetragonal.

It has space group I-42d (No. 122), with a = 4.016 Å, b = 4.016 Å, c = 19.364 Å, α = 90.00°, β = 90.00° and γ = 90.00°. The distinct sites, in fractional coordinates, are Ta at (0.248, 0.250, 0.125), Ag at (0.000, 0.000, 0.000) and Cl at (0.000, 0.000, 0.500).


#ii
Compound: Ta2AgCl
Source: Alexandria
Functional: PBE
Structure: optimized geometry

The crystal system is orthorhombic.

It has space group Cmm2 (No. 35), with a = 3.619 Å, b = 4.640 Å, c = 9.359 Å, α = 90.00°, β = 90.00° and γ = 90.00°. The distinct sites, in fractional coordinates, are Ta at (0.000, 0.000, 0.000), Ta at (0.000, 0.500, 0.231), Ag at (0.000, 0.000, 0.467) and Cl at (0.000, 0.500, 0.798).


Last place for stability: #i


#i
Compound: ZnAgCl2
Source: Alexandria
Functional: PBE
Structure: optimized geometry

The crystal system is orthorhombic.

It has space group Cmm2 (No. 35), with a = 3.509 Å, b = 6.810 Å, c = 8.676 Å, α = 90.00°, β = 90.00° and γ = 90.00°. The distinct sites, in fractional coordinates, are Zn at (0.000, 0.000, 0.000), Ag at (0.000, 0.500, 0.773), Cl at (0.000, 0.000, 0.572) and Cl at (0.000, 0.500, 0.177).


#ii
Compound: ZnAgCl2
Source: Alexandria
Functional: PBE
Structure: optimized geometry

The crystal system is monoclinic.

It has space group Cm (No. 8), with a = 12.403 Å, b = 3.804 Å, c = 3.813 Å, α = 90.00°, β = 106.28° and γ = 90.00°. The distinct sites, in fractional coordinates, are Zn at (0.000, 0.000, 0.000), Ag at (0.280, 0.500, 0.721), Cl at (0.201, 0.000, 0.159) and Cl at (0.487, 0.000, 0.452).


Last place for stability: #i


#i
Compound: Mn2PSe
Source: Alexandria
Functional: PBE
Structure: optimized geometry

The crystal system is cubic.

It has space group Fm-3m (No. 225), with a = 5.775 Å, b = 5.775 Å, c = 5.775 Å, α = 90.00°, β = 90.00° and γ = 90.00°. The distinct sites, in fractional coordinates, are Mn at (0.250, 0.250, 0.250), P at (0.000, 0.000, 0.000) and Se at (0.000, 0.000, 0.500).


#ii
Compound: Mn2PSe
Source: Alexandria
Functional: PBE
Structure: optimized geometry

The crystal system is tetragonal.

It has space group P4/mmm (No. 123), with a = 2.998 Å, b = 2.998 Å, c = 6.199 Å, α = 90.00°, β = 90.00° and γ = 90.00°. The distinct sites, in fractional coordinates, are Mn at (0.000, 0.000, 0.213), P at (0.500, 0.500, 0.000) and Se at (0.500, 0.500, 0.500).


Last place for stability: #i